This record from Alexandria describes a geometry-optimized CsGaSn4 structure. The functional is GGA-PBE. Values from VASP.

The energy above the most stable polymorph in this dataset is 100.0 meV per atom. The space group is F-43m, No. 216. The value obtained for the density of states at the Fermi level is 1.172 states/eV/atom. The value obtained for the formation energy is 9.7 kJ per mole of atoms. For the magnetization, the calculation gives 0.0 μB/cell. Its total DFT energy (no corrections) is -3.22 eV per atom.

```
&SYSTEM
  ibrav = 0, nat = 6, ntyp = 3
/
ATOMIC_SPECIES
Cs 132.91 Cs.upf
Ga 69.72 Ga.upf
Sn 118.71 Sn.upf
ATOMIC_POSITIONS angstrom
Cs 0.000 0.000 0.000
Ga 6.831 6.831 6.831
Sn 3.420 3.420 3.420
Sn 5.688 5.688 3.420
Sn 5.688 3.420 5.688
Sn 3.420 5.688 5.688
CELL_PARAMETERS angstrom
0.000 4.554 4.554
4.554 0.000 4.554
4.554 4.554 0.000
```